1.
A plane-wave DFT calculation with PBE was carried out for an optimized crystal structure of LiFe2ReS.

Structure (extended XYZ):
```
5
Lattice="4.455 0.000 0.000 0.000 4.860 0.000 0.000 0.000 4.455" Properties=species:S:1:pos:R:3 pbc="T T T"
S 2.228 2.430 2.228
Li 0.000 2.430 0.000
Fe 0.000 0.000 2.228
Fe 2.228 0.000 0.000
Re 0.000 0.000 0.000
```

## Properties
- DOS at the Fermi energy: 7.272 states/eV per cell
- Space group: P4/mmm
- Energy relative to the elements, uncorrected: 1.413 eV per atom



2.
A plane-wave DFT calculation with PBE was carried out for an optimized crystal structure of RbMg2H7.

Structure (extended XYZ):
```
10
Lattice="3.805 0.000 0.000 0.000 6.079 -0.374 0.000 -3.076 5.256" Properties=species:S:1:pos:R:3 pbc="T T T"
Mg 1.902 3.662 1.112
Mg 1.902 -0.660 3.770
H 1.902 1.501 2.441
H 1.902 3.234 2.936
H 1.902 1.161 4.211
H 1.902 -0.232 1.946
H 0.000 3.804 1.024
H 1.902 1.841 0.671
H 0.000 -0.802 3.857
Rb 0.000 0.000 0.000
```

## Properties
- DOS at the Fermi energy: 0.747 states/eV per cell
- Space group: Cmmm
- Electronic total energy: -2.561 eV per atom



3.
A plane-wave DFT calculation with PBE was carried out for an optimized crystal structure of Np2In9Sn.

Structure (extended XYZ):
```
12
Lattice="-3.195 -2.785 -1.938 3.185 -1.544 -3.032 3.565 -10.369 9.024" Properties=species:S:1:pos:R:3 pbc="T T T"
In 0.185 -6.577 3.543
Np 2.371 -6.897 6.002
In 1.358 -9.988 6.512
In -0.005 -2.165 -2.485
In 2.352 -9.020 3.481
In -0.988 -3.166 0.574
In 1.203 -5.678 0.573
In 3.375 -5.956 2.996
In 4.548 -9.368 5.964
Sn 0.000 0.000 0.000
In 2.202 -2.545 0.027
Np 1.194 -3.472 3.021
```

## Properties
- E_form: 0.040 eV/atom
- DOS at the Fermi energy: 25.025 states/eV per cell
- Space group: P4/mmm



4.
A plane-wave DFT calculation with PBE was carried out for an optimized crystal structure of BeZnAg.

Structure (extended XYZ):
```
6
Lattice="-3.752 -2.248 1.993 4.049 -2.515 -0.620 0.097 -1.244 4.642" Properties=species:S:1:pos:R:3 pbc="T T T"
Zn 2.025 -1.258 -0.310
Zn -1.876 -1.124 0.997
Be 0.148 -2.381 0.687
Ag -0.342 -1.663 3.283
Be 2.073 -1.880 2.011
Ag 0.736 -4.344 2.732
```

## Properties
- E_form: 0.051 eV/atom
- Relative energy among the computed polymorphs: 0.00 eV per formula unit
- DOS at the Fermi energy: 1.138 states/eV per cell
- Space group: Imma



5.
A plane-wave DFT calculation with PBE was carried out for an optimized crystal structure of Li7Sn3.

Structure (extended XYZ):
```
20
Lattice="4.730 0.000 0.000 0.000 8.463 0.041 0.000 2.647 9.126" Properties=species:S:1:pos:R:3 pbc="T T T"
Sn 1.182 7.947 3.977
Li 1.182 1.684 5.679
Li 1.182 4.817 4.907
Li 1.182 2.552 2.923
Sn 3.547 5.491 7.084
Sn 3.547 1.881 0.773
Li 1.182 3.438 0.122
Sn 1.182 9.229 8.395
Sn 1.182 5.619 2.084
Li 3.547 4.074 2.536
Li 3.547 2.373 7.950
Sn 3.547 3.162 5.190
Li 3.547 7.316 1.553
Li 3.547 9.426 3.488
Li 3.547 6.293 4.261
Li 1.182 7.036 6.632
Li 3.547 8.558 6.244
Li 1.182 3.794 7.614
Li 3.547 7.672 9.045
Li 1.182 8.737 1.218
```

## Properties
- E_form: -0.392 eV/atom
- Relative energy among the computed polymorphs: 0.00 eV per formula unit
- DOS at the Fermi energy: 2.921 states/eV per cell
- Space group: P2_1/m



6.
A plane-wave DFT calculation with PBE was carried out for an optimized crystal structure of CsSb2Au4.

Structure (extended XYZ):
```
14
Lattice="-5.059 2.476 -3.954 -1.560 -7.416 -2.648 -5.077 -2.494 4.935" Properties=species:S:1:pos:R:3 pbc="T T T"
Sb -2.978 -5.549 -2.660
Au -2.912 -3.250 -1.304
Cs -5.486 -5.455 0.608
Au -5.131 -4.051 -4.955
Sb -8.351 -6.240 -2.207
Au -4.027 -2.237 3.216
Au -8.785 -4.183 -0.363
Au -5.592 -6.213 -3.260
Sb -8.719 -1.884 0.993
Au -6.565 -3.382 3.288
Au -6.104 -1.220 1.593
Cs -6.211 -1.978 -2.276
Au -7.670 -5.196 -4.884
Sb -3.346 -1.193 0.539
```

## Properties
- DOS at the Fermi energy: 4.318 states/eV per cell
- Space group: P2_1/m
- Energy relative to the elements, uncorrected: -0.144 eV per atom



7.
A plane-wave DFT calculation with PBE was carried out for an optimized crystal structure of HoAgSn3.

Structure (extended XYZ):
```
20
Lattice="-5.567 -1.949 1.894 2.697 -4.637 3.155 0.873 7.517 10.303" Properties=species:S:1:pos:R:3 pbc="T T T"
Sn -0.325 -0.702 8.453
Sn -3.502 4.023 9.045
Sn 1.112 2.607 5.951
Ho 1.886 0.105 10.718
Sn -0.176 5.756 10.473
Sn -1.821 -4.826 4.878
Sn -2.429 3.869 12.040
Sn -2.566 -1.853 5.747
Ag -2.010 -1.282 2.903
Ho -3.883 0.824 4.633
Sn 0.432 -2.939 3.311
Ag 0.773 -0.307 1.956
Ag 2.797 3.187 11.501
Ho -2.201 1.372 10.140
Ho 0.204 -0.443 5.211
Sn 1.505 -3.093 6.306
Sn -1.672 1.632 6.898
Sn 0.569 2.783 9.605
Ag 0.013 2.212 12.448
Sn 2.458 0.272 7.506
```

## Properties
- E_form: -0.322 eV/atom
- DOS at the Fermi energy: 9.350 states/eV per cell
- Space group: Pbcm



8.
A plane-wave DFT calculation with PBE was carried out for an optimized crystal structure of CeCl2F5.

Structure (extended XYZ):
```
8
Lattice="-1.186 -3.161 -4.926 -4.912 -2.195 2.591 0.756 5.968 -0.392" Properties=species:S:1:pos:R:3 pbc="T T T"
Ce -0.055 0.080 -0.038
F -4.255 -0.947 -1.987
F -1.557 -1.317 -0.602
F -4.585 -3.976 -1.762
F -3.996 -2.407 0.685
Cl -3.563 0.492 0.543
Cl -1.701 0.009 -3.216
F -2.146 -2.886 -3.049
```

## Properties
- DOS at the Fermi energy: 3.916 states/eV per cell
- Space group: I4mm
- Energy relative to the elements, uncorrected: -1.819 eV per atom



Question: The lowest DOS at the Fermi energy belongs to which entry?
Answer: RbMg2H7